# 1
Below is a geometry-optimized Pm3Nd12Sc structure, with properties calculated at the PBE level.

Summary:
SG   P4/mmm (123)
D(E_F)   24.76 states/eV per cell
Energy of formation   0.020 eV/atom
Electronic total energy   -4.842 eV/atom

Cell and atoms, written as POSCAR:
```
Pm3Nd12Sc
1.0
-2.539 4.430 -0.769
-4.408 -2.279 1.426
3.531 5.421 19.581
Pm Nd Sc
3 12 1
Direct
0.000 0.000 0.246 Pm
0.000 0.000 0.500 Pm
0.000 0.000 0.754 Pm
0.500 0.500 0.000 Nd
0.500 0.500 0.246 Nd
0.500 0.500 0.500 Nd
0.500 0.500 0.754 Nd
0.500 0.000 0.120 Nd
0.500 0.000 0.373 Nd
0.500 0.000 0.627 Nd
0.500 0.000 0.880 Nd
0.000 0.500 0.120 Nd
0.000 0.500 0.373 Nd
0.000 0.500 0.627 Nd
0.000 0.500 0.880 Nd
0.000 0.000 0.000 Sc
```

# 2
Below is a geometry-optimized Sr2Zn2Au structure, with properties calculated at the PBE level.

Summary:
SG   I4/mmm (139)
D(E_F)   4.60 states/eV per cell
Energy of formation   -0.239 eV/atom
Offset from the most stable computed form   194 meV per atom
Electronic total energy   -2.077 eV/atom

Cell and atoms, written as POSCAR:
```
Sr2Zn2Au
1.0
-1.623 2.442 5.408
-3.556 -4.889 1.140
0.334 -2.962 4.936
Sr Zn Au
2 2 1
Direct
0.750 0.250 0.500 Sr
0.250 0.750 0.500 Sr
0.343 0.343 0.313 Zn
0.657 0.657 0.687 Zn
0.000 0.000 0.000 Au
```

# 3
Below is a geometry-optimized Pm4Nd3Ge4 structure, with properties calculated at the PBE level.

Summary:
SG   Immm (71)
D(E_F)   11.04 states/eV per cell
Energy of formation   -0.618 eV/atom
Electronic total energy   -5.325 eV/atom

Cell and atoms, written as POSCAR:
```
Pm4Nd3Ge4
1.0
4.005 0.000 0.000
0.000 8.778 0.000
-2.003 -4.389 8.680
Pm Nd Ge
4 3 4
Direct
0.329 0.151 0.658 Pm
0.671 0.494 0.342 Pm
0.671 0.849 0.342 Pm
0.329 0.506 0.658 Pm
0.096 0.096 0.192 Nd
0.904 0.904 0.808 Nd
0.000 0.500 0.000 Nd
0.272 0.772 0.544 Ge
0.728 0.228 0.456 Ge
0.500 0.775 0.000 Ge
0.500 0.225 0.000 Ge
```

# 4
Below is a geometry-optimized AlCuAsSe2 structure, with properties calculated at the PBE level.

Summary:
SG   P4/mmm (123)
D(E_F)   3.76 states/eV per cell
Formation energy (no corrections)   0.5403 eV per atom
Offset from the most stable computed form   39 meV per atom
Electronic total energy   -3.351 eV/atom

Cell and atoms, written as POSCAR:
```
AlCuAsSe2
1.0
-2.284 -3.894 1.919
2.487 0.604 4.185
-3.475 2.853 1.654
As Cu Se Al
1 1 2 1
Direct
0.000 0.000 0.500 As
0.500 0.500 0.500 Cu
0.000 0.500 0.000 Se
0.500 0.000 0.000 Se
0.000 0.000 0.000 Al
```

# 5
Below is a geometry-optimized CeCd11Hg structure, with properties calculated at the PBE level.

Summary:
SG   C2/m (12)
D(E_F)   10.05 states/eV per cell
Energy of formation   -0.076 eV/atom
Electronic total energy   -1.330 eV/atom

Cell and atoms, written as POSCAR:
```
CeCd11Hg
1.0
5.562 0.030 2.317
2.754 7.075 1.147
0.060 0.015 7.690
Ce Cd Hg
1 11 1
Direct
0.000 0.000 0.000 Ce
0.284 0.213 0.213 Cd
0.716 0.787 0.787 Cd
0.502 0.787 0.213 Cd
0.498 0.213 0.787 Cd
0.350 0.649 0.647 Cd
0.650 0.351 0.353 Cd
0.003 0.351 0.647 Cd
0.997 0.649 0.353 Cd
0.000 0.500 0.000 Cd
0.500 0.000 0.500 Cd
0.000 0.000 0.500 Cd
0.500 0.500 0.000 Hg
```

# 6
Below is a geometry-optimized Ac5LaPr2Tm structure, with properties calculated at the PBE level.

Summary:
SG   I4/mcm (140)
D(E_F)   30.95 states/eV per cell
Energy of formation   0.280 eV/atom
Electronic total energy   -4.109 eV/atom

Cell and atoms, written as POSCAR:
```
Ac5LaPr2Tm
1.0
-7.553 0.581 3.701
3.165 -3.465 7.004
4.714 11.077 -1.725
Ac La Pr Tm
10 2 4 2
Direct
0.915 0.415 0.269 Ac
0.645 0.145 0.731 Ac
0.085 0.585 0.731 Ac
0.145 0.085 0.731 Ac
0.585 0.645 0.731 Ac
0.855 0.915 0.269 Ac
0.415 0.355 0.269 Ac
0.355 0.855 0.269 Ac
0.500 0.500 0.000 Ac
0.000 0.000 0.000 Ac
0.250 0.250 0.500 La
0.750 0.750 0.500 La
0.123 0.377 0.000 Pr
0.623 0.123 0.000 Pr
0.377 0.877 0.000 Pr
0.877 0.623 0.000 Pr
0.250 0.750 0.500 Tm
0.750 0.250 0.500 Tm
```

no.,magnetic moment (μB/f.u.)
1,0.00
2,0.00
3,0.00
4,0.00
5,1.10
6,0.00